{"formula": "V4O7F5", "functional": "GGA+U", "state": "relaxed", "cell": [[5.167, 0.000, 0.000], [0.002, 5.368, 0.000], [0.022, 0.188, 7.574]], "species": ["V", "V", "V", "V", "O", "O", "O", "O", "O", "O", "O", "F", "F", "F", "F", "F"], "frac_coords": [[0.000, 0.000, 0.000], [0.005, 0.110, 0.500], [0.483, 0.498, 0.000], [0.518, 0.594, 0.494], [0.212, 0.335, 0.966], [0.270, 0.837, 0.965], [0.273, 0.276, 0.533], [0.710, 0.282, 0.037], [0.713, 0.838, 0.467], [0.773, 0.783, 0.033], [0.780, 0.334, 0.466], [0.075, 0.053, 0.252], [0.198, 0.779, 0.540], [0.407, 0.562, 0.247], [0.569, 0.557, 0.754], [0.914, 0.060, 0.749]], "relative_energy_mev_per_atom": 39, "space_group": "P1, No. 1", "final_energy_ev_per_atom": -6.700}